(1)
Compound: Sm2Be4Ir5
Source: Alexandria
Functional: GGA-PBE
Structure: relaxed

Cell: 5.7033 5.5511 6.8525 Å, 77.66 65.41 59.09°
Closest atoms and distances in Å follow each position.
Fractional coordinates of all 11 atoms:
Sm 0.8647 0.0000 0.2706  10 Ir 3.12-3.31, 8 Be 3.23-3.29, 1 Sm 3.37
Sm 0.1353 0.0000 0.7294  10 Ir 3.12-3.31, 8 Be 3.23-3.29, 1 Sm 3.37
Be 0.4702 0.3213 0.7382  5 Ir 2.23-2.33
Be 0.5298 0.6787 0.2618  5 Ir 2.23-2.33
Be 0.2085 0.3213 0.2618  5 Ir 2.23-2.33
Be 0.7915 0.6787 0.7382  5 Ir 2.23-2.33
Ir 0.5000 0.0000 0.0000  4 Be 2.24
Ir 0.0000 0.5000 0.0000  4 Be 2.33
Ir 0.5000 0.5000 0.0000  4 Be 2.33
Ir 0.2500 0.5000 0.5000  4 Be 2.23
Ir 0.7500 0.5000 0.5000  4 Be 2.23

Computed properties:
- volume (Å³/cell) = 169
- space-group type = No. 69
- energy of formation from the pure elements (kJ/mol of formula units) = -678.1

***

(2)
Compound: KCaOs2
Source: Alexandria
Functional: GGA-PBE
Structure: relaxed

Cell: 6.6726 6.6726 6.6726 Å, 145.50 135.28 57.68°
Closest atoms and distances in Å follow each position.
Fractional coordinates of all 4 atoms:
Ca 0.4833 0.4833 0.0000  6 Os 2.99-3.24
K 0.2179 0.7179 0.5000  8 Os 3.56-3.73, 4 Ca 3.68-3.74, 2 K 3.96
Os 0.9513 0.9513 0.0000  2 Os 2.32
Os 0.8474 0.3474 0.5000  2 Os 2.32

Computed properties:
- relative energy among the computed polymorphs (eV/f.u.) = 1.55
- volume (Å³/cell) = 117
- space-group type = No. 44
- energy of formation from the pure elements (kJ/mol of formula units) = 300.8

***

What is the formula in the second record?
KCaOs2

***

The highest energy of formation from the pure elements belongs to which entry?
KCaOs2

***

energy of formation from the pure elements of number 1 (Sm2Be4Ir5)?
-678.1 kJ/mol of formula units